Below is a relaxed Ce2Al2Si4Os crystal, with properties calculated at the PBE-GGA level.

```
Ce2Al2Si4Os
1.0
-0.804 6.038 0.026
-4.513 -3.665 1.818
3.761 -2.574 4.042
Ce Al Si Os
2 2 4 1
direct
0.500 0.750 0.250
0.500 0.250 0.750
0.000 0.710 0.710
0.000 0.290 0.290
0.000 0.718 0.282
0.435 0.718 0.718
0.000 0.282 0.718
0.565 0.282 0.282
0.000 0.000 0.000
```

Calculated values
space-group type = I4/mmm
final energy = -0.23360 hartree per atom

---

Below is a relaxed Ba2UTe5 crystal, with properties calculated at the PBE-GGA level.

```
Ba2UTe5
1.0
8.715 0.000 0.000
0.000 9.599 0.000
0.000 0.000 13.910
Ba U Te
8 4 20
direct
0.410 0.507 0.831
0.590 0.493 0.169
0.910 0.493 0.669
0.590 0.007 0.169
0.090 0.507 0.331
0.410 0.993 0.831
0.090 0.993 0.331
0.910 0.007 0.669
0.437 0.250 0.508
0.563 0.750 0.492
0.937 0.750 0.992
0.063 0.250 0.008
0.078 0.250 0.510
0.922 0.750 0.490
0.578 0.750 0.990
0.422 0.250 0.010
0.320 0.956 0.561
0.680 0.044 0.439
0.820 0.044 0.939
0.680 0.456 0.439
0.180 0.956 0.061
0.320 0.544 0.561
0.180 0.544 0.061
0.820 0.456 0.939
0.128 0.250 0.800
0.872 0.750 0.200
0.628 0.750 0.700
0.372 0.250 0.300
0.603 0.250 0.697
0.397 0.750 0.303
0.103 0.750 0.803
0.897 0.250 0.197
```

Calculated values
space-group type = Pnma
final energy = -0.18272 hartree per atom

---

Below is a relaxed Nb2CuPt crystal, with properties calculated at the PBE-GGA level.

```
Nb2CuPt
1.0
2.800 0.000 0.000
1.400 2.425 0.000
1.400 0.808 9.950
Nb Cu Pt
2 1 1
direct
0.089 0.089 0.733
0.911 0.911 0.267
0.500 0.500 0.500
0.000 0.000 0.000
```

Calculated values
energy of formation = 0.2647 eV/atom
space-group type = R-3m
final energy = -0.26843 hartree per atom

---

Below is a relaxed Cs6Rb10Hg crystal, with properties calculated at the PBE-GGA level.

```
Cs6Rb10Hg
1.0
-3.389 -0.455 8.605
-2.454 -13.800 -1.696
12.406 4.387 5.117
Cs Rb Hg
6 10 1
direct
0.751 0.398 0.398
0.751 0.000 0.602
0.751 0.602 0.000
0.249 0.602 0.602
0.249 0.000 0.398
0.249 0.398 0.000
0.745 0.784 0.784
0.745 0.000 0.216
0.745 0.216 0.000
0.255 0.216 0.216
0.255 0.000 0.784
0.255 0.784 0.000
0.500 0.333 0.667
0.500 0.667 0.333
0.000 0.667 0.333
0.000 0.333 0.667
0.500 0.000 0.000
```

Calculated values
energy of formation = 0.0031 eV/atom
space-group type = P-31m
final energy = -0.03253 hartree per atom

---

Below is a relaxed CdFeTe2 crystal, with properties calculated at the PBE-GGA level.

```
CdFeTe2
1.0
-0.200 -0.653 5.113
3.187 -3.342 2.300
3.844 1.730 2.974
Cd Fe Te
1 1 2
direct
0.500 0.500 0.500
0.250 0.250 0.250
0.000 0.000 0.000
0.750 0.750 0.750
```

Calculated values
space-group type = F-43m
final energy = -0.12053 hartree per atom

---

Below is a relaxed Cu8Pt2Au crystal, with properties calculated at the PBE-GGA level.

```
Cu8Pt2Au
1.0
3.639 0.000 -1.046
-0.571 5.576 -1.987
0.038 0.544 6.985
Au Pt Cu
1 2 8
direct
0.500 0.000 0.000
0.225 0.644 0.449
0.775 0.356 0.551
0.590 0.461 0.179
0.318 0.091 0.636
0.139 0.182 0.277
0.043 0.720 0.087
0.861 0.818 0.723
0.682 0.909 0.364
0.410 0.539 0.821
0.957 0.280 0.913
```

Calculated values
energy of formation = -0.0885 eV/atom
space-group type = C2/m
final energy = -0.16404 hartree per atom

---

> Which formula does entry 5 have?

CdFeTe2

---

> final energy of number 1 (Ce2Al2Si4Os)?

-0.23360 hartree per atom

---

> final energy of number 2 (Ba2UTe5)?

-0.18272 hartree per atom

---

> Which value of final energy does entry 1 give?

-0.23360 hartree per atom